Arrangement P

A plane-wave DFT calculation with GGA-PBE was carried out for SrZr2Sc after structural relaxation.

a b c (Å): 3.4206 5.5177 5.7233
angles (deg): 90.00 90.00 90.00
Closest atoms and distances in Å follow each position.
Fractional coordinates of all 4 atoms:
Sr: 0.0000 0.0000 0.0000  4 Sc 3.25, 4 Zr 3.33, 2 Sr 3.42
Zr: 0.0000 0.5000 0.5000  6 Zr 3.25-3.42, 4 Sc 3.33
Zr: 0.5000 0.0000 0.5000  6 Zr 3.25-3.42, 4 Sr 3.33
Sc: 0.5000 0.5000 0.0000  4 Sr 3.25, 4 Zr 3.33, 2 Sc 3.42

Computed properties:
- magnetization (μB/cell) = 0.000
- crystal system = orthorhombic


Arrangement Q

A plane-wave DFT calculation with GGA-PBE was carried out for SrZr2Sc after structural relaxation.

a b c (Å): 3.2478 5.2080 6.9891
angles (deg): 90.00 101.92 90.00
Closest atoms and distances in Å follow each position.
Fractional coordinates of all 4 atoms:
Sr: 0.0000 0.0000 0.0000  2 Sr 3.25, 2 Sc 3.54
Zr: 0.2891 0.5000 0.6854  2 Zr 2.87-3.17, 2 Sc 3.05
Zr: 0.7109 0.5000 0.3146  2 Zr 2.87-3.17, 2 Sc 3.05
Sc: 0.5000 0.0000 0.5000  4 Zr 3.05, 2 Sc 3.25

Computed properties:
- magnetization (μB/cell) = 0.000
- crystal system = monoclinic


Arrangement R

A plane-wave DFT calculation with GGA-PBE was carried out for SrZr2Sc after structural relaxation.

a b c (Å): 3.3005 4.5228 7.6254
angles (deg): 90.00 90.00 90.00
Closest atoms and distances in Å follow each position.
Fractional coordinates of all 4 atoms:
Sr: 0.0000 0.0000 0.0000  2 Sr 3.30, 8 Zr 3.65
Zr: 0.5000 0.5000 0.3077  1 Zr 2.93, 4 Sc 3.16
Zr: 0.5000 0.5000 0.6923  1 Zr 2.93, 4 Sc 3.16
Sc: 0.0000 0.0000 0.5000  8 Zr 3.16, 2 Sc 3.30

Computed properties:
- magnetization (μB/cell) = 0.000
- crystal system = orthorhombic


Arrangement S

A plane-wave DFT calculation with GGA-PBE was carried out for SrZr2Sc after structural relaxation.

a b c (Å): 3.4106 4.2845 7.9251
angles (deg): 90.00 90.00 90.00
Closest atoms and distances in Å follow each position.
Fractional coordinates of all 4 atoms:
Sr: 0.0000 0.0000 0.0000  2 Sr 3.41, 5 Zr 3.62-3.79, 4 Sc 3.72
Zr: 0.0000 0.0000 0.4786  6 Zr 3.08-3.41, 4 Sc 3.18
Zr: 0.5000 0.5000 0.2996  1 Sc 3.03, 4 Zr 3.08
Sc: 0.5000 0.5000 0.6821  5 Zr 3.03-3.18

Computed properties:
- magnetization (μB/cell) = 0.000
- crystal system = orthorhombic


Most stable pick: arrangement S. Distance to second place: 7.7 kJ/mol of atoms.


Arrangement P

A plane-wave DFT calculation with GGA-PBE was carried out for SrZrSc2 after structural relaxation.

a b c (Å): 10.9316 3.3199 6.3559
angles (deg): 90.00 97.23 90.00
Closest atoms and distances in Å follow each position.
Fractional coordinates of all 8 atoms:
Sr: 0.0000 0.0000 0.0000  2 Sr 3.32, 7 Sc 3.41-3.68, 3 Zr 3.48-3.58
Sr: 0.5000 0.5000 0.0000  2 Sr 3.32, 7 Sc 3.41-3.68, 3 Zr 3.48-3.58
Zr: 0.2449 0.0000 0.6989  5 Sc 3.09-3.23, 2 Zr 3.32
Zr: 0.7449 0.5000 0.6989  5 Sc 3.09-3.23, 2 Zr 3.32
Sc: 0.0079 0.5000 0.5181  3 Zr 3.17-3.23, 5 Sc 3.25-3.35, 2 Sr 3.49
Sc: 0.2589 0.5000 0.2923  2 Zr 3.09, 5 Sc 3.25-3.35, 1 Sr 3.41
Sc: 0.5079 0.0000 0.5181  3 Zr 3.17-3.23, 5 Sc 3.25-3.35, 2 Sr 3.49
Sc: 0.7589 0.0000 0.2923  2 Zr 3.09, 5 Sc 3.25-3.35, 1 Sr 3.41

Computed properties:
- magnetization (μB/cell) = 0.000
- crystal system = monoclinic


Arrangement Q

A plane-wave DFT calculation with GGA-PBE was carried out for SrZrSc2 after structural relaxation.

a b c (Å): 3.4579 4.2274 8.1030
angles (deg): 90.00 90.00 90.00
Closest atoms and distances in Å follow each position.
Fractional coordinates of all 4 atoms:
Sr: 0.0000 0.0000 0.0000  2 Sr 3.46, 4 Zr 3.65, 5 Sc 3.79-3.82
Zr: 0.5000 0.5000 0.2995  5 Sc 3.04-3.07
Sc: 0.0000 0.0000 0.4719  4 Zr 3.07, 4 Sc 3.19
Sc: 0.5000 0.5000 0.6750  1 Zr 3.04, 4 Sc 3.19

Computed properties:
- magnetization (μB/cell) = 0.000
- crystal system = orthorhombic


Most stable pick: arrangement Q. Distance to second place: 4.7 kJ/mol of atoms.


Arrangement P

A plane-wave DFT calculation with GGA-PBE was carried out for SrZrSc3 after structural relaxation.

a b c (Å): 5.1261 5.1261 5.1261
angles (deg): 90.00 90.00 90.00
Closest atoms and distances in Å follow each position.
Fractional coordinates of all 5 atoms:
Sr: 0.0000 0.0000 0.0000  6 Sc 2.56
Zr: 0.5000 0.5000 0.5000  12 Sc 3.62
Sc: 0.0000 0.0000 0.5000  2 Sr 2.56
Sc: 0.0000 0.5000 0.0000  2 Sr 2.56
Sc: 0.5000 0.0000 0.0000  2 Sr 2.56

Computed properties:
- magnetization (μB/cell) = 2.019
- crystal system = cubic


Arrangement Q

A plane-wave DFT calculation with GGA-PBE was carried out for SrZrSc3 after structural relaxation.

a b c (Å): 5.3933 5.3933 5.3933
angles (deg): 90.00 90.00 90.00
Closest atoms and distances in Å follow each position.
Fractional coordinates of all 5 atoms:
Sr: 0.0000 0.0000 0.0000  12 Sc 3.81
Zr: 0.5000 0.5000 0.5000  6 Sc 2.70
Sc: 0.0000 0.5000 0.5000  2 Zr 2.70
Sc: 0.5000 0.0000 0.5000  2 Zr 2.70
Sc: 0.5000 0.5000 0.0000  2 Zr 2.70

Computed properties:
- magnetization (μB/cell) = 0.073
- crystal system = cubic


Most stable pick: arrangement Q. Distance to second place: 78.5 kJ/mol of atoms.


Arrangement P

A plane-wave DFT calculation with GGA-PBE was carried out for ScTa after structural relaxation.

a b c (Å): 8.7897 8.0823 5.1018
angles (deg): 80.16 64.96 34.88
Closest atoms and distances in Å follow each position.
Fractional coordinates of all 8 atoms:
Sc: 0.0450 0.7050 0.0450  3 Sc 2.96-3.00, 8 Ta 2.99-3.28
Sc: 0.2950 0.9550 0.2950  3 Sc 2.96-3.00, 8 Ta 2.99-3.28
Sc: 0.7050 0.0450 0.7050  3 Sc 2.96-3.00, 8 Ta 2.99-3.28
Sc: 0.9550 0.2950 0.9550  3 Sc 2.96-3.00, 8 Ta 2.99-3.28
Ta: 0.2944 0.2944 0.4556  1 Ta 2.46
Ta: 0.4556 0.4556 0.2944  1 Ta 2.46
Ta: 0.5444 0.5444 0.7056  1 Ta 2.46
Ta: 0.7056 0.7056 0.5444  1 Ta 2.46

Computed properties:
- magnetization (μB/cell) = 0.000
- crystal system = orthorhombic


Arrangement Q

A plane-wave DFT calculation with GGA-PBE was carried out for ScTa after structural relaxation.

a b c (Å): 3.5871 4.9805 9.2759
angles (deg): 90.00 90.00 90.00
Closest atoms and distances in Å follow each position.
Fractional coordinates of all 8 atoms:
Sc: 0.0000 0.2500 0.1145  8 Ta 3.01-3.34, 4 Sc 3.09-3.27
Sc: 0.0000 0.7500 0.8855  8 Ta 3.01-3.34, 4 Sc 3.09-3.27
Sc: 0.5000 0.2500 0.3855  8 Ta 3.01-3.34, 4 Sc 3.09-3.27
Sc: 0.5000 0.7500 0.6145  8 Ta 3.01-3.34, 4 Sc 3.09-3.27
Ta: 0.0000 0.2500 0.6459  2 Ta 2.64
Ta: 0.0000 0.7500 0.3541  2 Ta 2.64
Ta: 0.5000 0.2500 0.8541  2 Ta 2.64
Ta: 0.5000 0.7500 0.1459  2 Ta 2.64

Computed properties:
- magnetization (μB/cell) = 0.000
- crystal system = orthorhombic


Arrangement R

A plane-wave DFT calculation with GGA-PBE was carried out for ScTa after structural relaxation.

a b c (Å): 6.8443 6.8443 6.8443
angles (deg): 90.00 90.00 90.00
Closest atoms and distances in Å follow each position.
Fractional coordinates of all 16 atoms:
Sc: 0.1250 0.1250 0.1250  4 Sc 2.96, 4 Ta 2.96
Sc: 0.1250 0.6250 0.6250  4 Sc 2.96, 4 Ta 2.96
Sc: 0.3750 0.3750 0.8750  4 Ta 2.96, 4 Sc 2.96
Sc: 0.3750 0.8750 0.3750  4 Ta 2.96, 4 Sc 2.96
Sc: 0.6250 0.1250 0.6250  4 Sc 2.96, 4 Ta 2.96
Sc: 0.6250 0.6250 0.1250  4 Sc 2.96, 4 Ta 2.96
Sc: 0.8750 0.3750 0.3750  4 Ta 2.96, 4 Sc 2.96
Sc: 0.8750 0.8750 0.8750  4 Ta 2.96, 4 Sc 2.96
Ta: 0.1250 0.1250 0.6250  4 Ta 2.96, 4 Sc 2.96
Ta: 0.1250 0.6250 0.1250  4 Ta 2.96, 4 Sc 2.96
Ta: 0.3750 0.3750 0.3750  4 Sc 2.96, 4 Ta 2.96
Ta: 0.3750 0.8750 0.8750  4 Sc 2.96, 4 Ta 2.96
Ta: 0.6250 0.1250 0.1250  4 Ta 2.96, 4 Sc 2.96
Ta: 0.6250 0.6250 0.6250  4 Ta 2.96, 4 Sc 2.96
Ta: 0.8750 0.3750 0.8750  4 Sc 2.96, 4 Ta 2.96
Ta: 0.8750 0.8750 0.3750  4 Sc 2.96, 4 Ta 2.96

Computed properties:
- magnetization (μB/cell) = 0.000
- crystal system = cubic


Arrangement S

A plane-wave DFT calculation with GGA-PBE was carried out for ScTa after structural relaxation.

a b c (Å): 3.0546 3.0546 30.8369
angles (deg): 90.00 90.00 120.00
Closest atoms and distances in Å follow each position.
Fractional coordinates of all 12 atoms:
Sc: 0.0000 0.0000 0.1193  3 Ta 3.02, 6 Sc 3.05
Sc: 0.0000 0.0000 0.8807  3 Ta 3.02, 6 Sc 3.05
Sc: 0.3333 0.6667 0.5473  3 Ta 3.02, 6 Sc 3.05
Sc: 0.3333 0.6667 0.7860  3 Ta 3.02, 6 Sc 3.05
Sc: 0.6667 0.3333 0.2140  3 Ta 3.02, 6 Sc 3.05
Sc: 0.6667 0.3333 0.4527  3 Ta 3.02, 6 Sc 3.05
Ta: 0.0000 0.0000 0.3731  9 Ta 3.02-3.05, 3 Sc 3.02
Ta: 0.0000 0.0000 0.6269  9 Ta 3.02-3.05, 3 Sc 3.02
Ta: 0.3333 0.6667 0.0398  9 Ta 3.02-3.05, 3 Sc 3.02
Ta: 0.3333 0.6667 0.2936  9 Ta 3.02-3.05, 3 Sc 3.02
Ta: 0.6667 0.3333 0.7064  9 Ta 3.02-3.05, 3 Sc 3.02
Ta: 0.6667 0.3333 0.9602  9 Ta 3.02-3.05, 3 Sc 3.02

Computed properties:
- magnetization (μB/cell) = 0.000
- crystal system = trigonal


Most stable pick: arrangement R. Distance to second place: 3.8 kJ/mol of atoms.